VASP calculation (GGA-PBE) on crystalline SbPb2W at its relaxed geometry.

Cell and atoms, written as CIF:
```
data_SbPb2W
_chemical_formula_sum 'Sb2 Pb4 W2'
_space_group_name_H-M_alt 'I m m 2'
_space_group_IT_number 44
_cell_length_a 3.3760
_cell_length_b 4.6694
_cell_length_c 13.5844
_cell_angle_alpha 90.00
_cell_angle_beta 90.00
_cell_angle_gamma 90.00
loop_
_space_group_symop_operation_xyz
'x,y,z'
'-x,-y,z'
'-x,y,z'
'x,-y,z'
'x+1/2,y+1/2,z+1/2'
'-x+1/2,-y+1/2,z+1/2'
'-x+1/2,y+1/2,z+1/2'
'x+1/2,-y+1/2,z+1/2'
loop_
_atom_site_label
_atom_site_type_symbol
_atom_site_fract_x
_atom_site_fract_y
_atom_site_fract_z
_atom_site_occupancy
Sb1 Sb 0.0000 0.0000 0.0000 1
Pb1 Pb 0.0000 0.0000 0.3615 1
Pb2 Pb 0.0000 0.5000 0.1821 1
W1 W 0.0000 0.5000 0.6593 1
```

VASP calculation (GGA-PBE) on crystalline SbPb2W at its relaxed geometry.

Cell and atoms, written as CIF:
```
data_SbPb2W
_chemical_formula_sum 'Sb1 Pb2 W1'
_space_group_name_H-M_alt 'P m m m'
_space_group_IT_number 47
_cell_length_a 3.5778
_cell_length_b 4.9601
_cell_length_c 5.5625
_cell_angle_alpha 90.00
_cell_angle_beta 90.00
_cell_angle_gamma 90.00
loop_
_space_group_symop_operation_xyz
'x,y,z'
'-x,-y,-z'
'-x,-y,z'
'x,y,-z'
'x,-y,-z'
'-x,y,z'
'-x,y,-z'
'x,-y,z'
loop_
_atom_site_label
_atom_site_type_symbol
_atom_site_fract_x
_atom_site_fract_y
_atom_site_fract_z
_atom_site_occupancy
Sb1 Sb 0.0000 0.0000 0.0000 1
Pb1 Pb 0.0000 0.5000 0.5000 1
Pb2 Pb 0.5000 0.0000 0.5000 1
W1 W 0.5000 0.5000 0.0000 1
```

VASP calculation (GGA-PBE) on crystalline SbPbW at its relaxed geometry.

Cell and atoms, written as CIF:
```
data_SbPbW
_chemical_formula_sum 'Sb4 Pb4 W4'
_space_group_name_H-M_alt 'F -4 3 m'
_space_group_IT_number 216
_space_group_name_Hall 'F -4 2 3'
_cell_length_a 6.7492
_cell_length_b 6.7492
_cell_length_c 6.7492
_cell_angle_alpha 90.00
_cell_angle_beta 90.00
_cell_angle_gamma 90.00
loop_
_atom_site_label
_atom_site_type_symbol
_atom_site_fract_x
_atom_site_fract_y
_atom_site_fract_z
_atom_site_occupancy
Sb1 Sb 0.0000 0.0000 0.0000 1
Pb1 Pb 0.0000 0.0000 0.5000 1
W1 W 0.2500 0.2500 0.2500 1
```

Results
For the distance to the lowest polymorph of the same formula, the calculation gives 1.06 eV per formula unit.

VASP calculation (GGA-PBE) on crystalline SbPb2W at its relaxed geometry.

Cell and atoms, written as CIF:
```
data_SbPb2W
_chemical_formula_sum 'Sb4 Pb8 W4'
_space_group_name_H-M_alt 'I -4 2 d'
_space_group_IT_number 122
_space_group_name_Hall 'I -4 2bw'
_cell_length_a 6.5470
_cell_length_b 6.5470
_cell_length_c 13.7036
_cell_angle_alpha 90.00
_cell_angle_beta 90.00
_cell_angle_gamma 90.00
loop_
_atom_site_label
_atom_site_type_symbol
_atom_site_fract_x
_atom_site_fract_y
_atom_site_fract_z
_atom_site_occupancy
Sb1 Sb 0.0000 0.0000 0.0000 1
Pb1 Pb 0.2118 0.2500 0.6250 1
W1 W 0.0000 0.0000 0.5000 1
```

VASP calculation (GGA-PBE) on crystalline SbPbW at its relaxed geometry.

Cell and atoms, written as CIF:
```
data_SbPbW
_chemical_formula_sum 'Sb1 Pb1 W1'
_space_group_name_H-M_alt 'P -6 m 2'
_space_group_IT_number 187
_space_group_name_Hall 'P -6 2'
_cell_length_a 5.0357
_cell_length_b 5.0357
_cell_length_c 3.0618
_cell_angle_alpha 90.00
_cell_angle_beta 90.00
_cell_angle_gamma 120.00
loop_
_atom_site_label
_atom_site_type_symbol
_atom_site_fract_x
_atom_site_fract_y
_atom_site_fract_z
_atom_site_occupancy
Sb1 Sb 0.0000 0.0000 0.0000 1
Pb1 Pb 0.3333 0.6667 0.5000 1
W1 W 0.6667 0.3333 0.0000 1
```

Results
For the distance to the lowest polymorph of the same formula, the calculation gives 0.83 eV per formula unit.

VASP calculation (GGA-PBE) on crystalline SbPb2W at its relaxed geometry.

Cell and atoms, written as CIF:
```
data_SbPb2W
_chemical_formula_sum 'Sb2 Pb4 W2'
_space_group_name_H-M_alt 'C 1 2/m 1'
_space_group_IT_number 12
_cell_length_a 6.2396
_cell_length_b 11.2341
_cell_length_c 3.1811
_cell_angle_alpha 90.00
_cell_angle_beta 117.18
_cell_angle_gamma 90.00
loop_
_space_group_symop_operation_xyz
'x,y,z'
'-x,-y,-z'
'-x,y,-z'
'x,-y,z'
'x+1/2,y+1/2,z'
'-x+1/2,-y+1/2,-z'
'-x+1/2,y+1/2,-z'
'x+1/2,-y+1/2,z'
loop_
_atom_site_label
_atom_site_type_symbol
_atom_site_fract_x
_atom_site_fract_y
_atom_site_fract_z
_atom_site_occupancy
Sb1 Sb 0.0000 0.0000 0.0000 1
Pb1 Pb 0.2500 0.2500 0.5000 1
W1 W 0.0000 0.5000 0.0000 1
```

VASP calculation (GGA-PBE) on crystalline SbPbW3 at its relaxed geometry.

Cell and atoms, written as CIF:
```
data_SbPbW3
_chemical_formula_sum 'Sb1 Pb1 W3'
_space_group_name_H-M_alt 'P m -3 m'
_space_group_IT_number 221
_space_group_name_Hall '-P 4 2 3'
_cell_length_a 4.9557
_cell_length_b 4.9557
_cell_length_c 4.9557
_cell_angle_alpha 90.00
_cell_angle_beta 90.00
_cell_angle_gamma 90.00
loop_
_atom_site_label
_atom_site_type_symbol
_atom_site_fract_x
_atom_site_fract_y
_atom_site_fract_z
_atom_site_occupancy
Sb1 Sb 0.0000 0.0000 0.0000 1
Pb1 Pb 0.5000 0.5000 0.5000 1
W1 W 0.0000 0.0000 0.5000 1
```

Results
For the distance to the lowest polymorph of the same formula, the calculation gives 0.00 eV per formula unit.

VASP calculation (GGA-PBE) on crystalline SbPb2W at its relaxed geometry.

Cell and atoms, written as CIF:
```
data_SbPb2W
_chemical_formula_sum 'Sb2 Pb4 W2'
_space_group_name_H-M_alt 'C m m 2'
_space_group_IT_number 35
_cell_length_a 3.6694
_cell_length_b 5.2666
_cell_length_c 10.7605
_cell_angle_alpha 90.00
_cell_angle_beta 90.00
_cell_angle_gamma 90.00
loop_
_space_group_symop_operation_xyz
'x,y,z'
'-x,-y,z'
'-x,y,z'
'x,-y,z'
'x+1/2,y+1/2,z'
'-x+1/2,-y+1/2,z'
'-x+1/2,y+1/2,z'
'x+1/2,-y+1/2,z'
loop_
_atom_site_label
_atom_site_type_symbol
_atom_site_fract_x
_atom_site_fract_y
_atom_site_fract_z
_atom_site_occupancy
Sb1 Sb 0.0000 0.0000 0.0000 1
Pb1 Pb 0.0000 0.0000 0.4068 1
Pb2 Pb 0.0000 0.5000 0.6945 1
W1 W 0.0000 0.5000 0.1870 1
```

VASP calculation (GGA-PBE) on crystalline Sb2Pb2W at its relaxed geometry.

Cell and atoms, written as CIF:
```
data_Sb2Pb2W
_chemical_formula_sum 'Sb4 Pb4 W2'
_space_group_name_H-M_alt 'I 4/m m m'
_space_group_IT_number 139
_space_group_name_Hall '-I 4 2'
_cell_length_a 3.9562
_cell_length_b 3.9562
_cell_length_c 18.3136
_cell_angle_alpha 90.00
_cell_angle_beta 90.00
_cell_angle_gamma 90.00
loop_
_atom_site_label
_atom_site_type_symbol
_atom_site_fract_x
_atom_site_fract_y
_atom_site_fract_z
_atom_site_occupancy
Sb1 Sb 0.0000 0.0000 0.0791 1
Pb1 Pb 0.0000 0.5000 0.2500 1
W1 W 0.0000 0.0000 0.5000 1
```

Results
For the distance to the lowest polymorph of the same formula, the calculation gives 2.58 eV per formula unit.

VASP calculation (GGA-PBE) on crystalline SbPb2W at its relaxed geometry.

Cell and atoms, written as CIF:
```
data_SbPb2W
_chemical_formula_sum 'Sb3 Pb6 W3'
_space_group_name_H-M_alt 'R -3 m'
_space_group_IT_number 166
_space_group_name_Hall '-R 3 2"'
_cell_length_a 3.2868
_cell_length_b 3.2868
_cell_length_c 31.5892
_cell_angle_alpha 90.00
_cell_angle_beta 90.00
_cell_angle_gamma 120.00
loop_
_atom_site_label
_atom_site_type_symbol
_atom_site_fract_x
_atom_site_fract_y
_atom_site_fract_z
_atom_site_occupancy
Sb1 Sb 0.0000 0.0000 0.0000 1
Pb1 Pb 0.0000 0.0000 0.2406 1
W1 W 0.0000 0.0000 0.5000 1
```

VASP calculation (GGA-PBE) on crystalline SbPb2W at its relaxed geometry.

Cell and atoms, written as CIF:
```
data_SbPb2W
_chemical_formula_sum 'Sb2 Pb4 W2'
_space_group_name_H-M_alt 'C 1 m 1'
_space_group_IT_number 8
_cell_length_a 9.7212
_cell_length_b 3.3074
_cell_length_c 7.3507
_cell_angle_alpha 90.00
_cell_angle_beta 109.51
_cell_angle_gamma 90.00
loop_
_space_group_symop_operation_xyz
'x,y,z'
'x,-y,z'
'x+1/2,y+1/2,z'
'x+1/2,-y+1/2,z'
loop_
_atom_site_label
_atom_site_type_symbol
_atom_site_fract_x
_atom_site_fract_y
_atom_site_fract_z
_atom_site_occupancy
Sb1 Sb 0.0000 0.0000 0.0000 1
Pb1 Pb 0.1467 0.5000 0.6513 1
Pb2 Pb 0.3255 0.5000 0.3514 1
W1 W 0.2817 0.0000 0.0037 1
```

VASP calculation (GGA-PBE) on crystalline SbPb2W at its relaxed geometry.

Cell and atoms, written as CIF:
```
data_SbPb2W
_chemical_formula_sum 'Sb2 Pb4 W2'
_space_group_name_H-M_alt 'I m m m'
_space_group_IT_number 71
_space_group_name_Hall '-I 2 2'
_cell_length_a 3.2440
_cell_length_b 4.5500
_cell_length_c 14.4686
_cell_angle_alpha 90.00
_cell_angle_beta 90.00
_cell_angle_gamma 90.00
loop_
_atom_site_label
_atom_site_type_symbol
_atom_site_fract_x
_atom_site_fract_y
_atom_site_fract_z
_atom_site_occupancy
Sb1 Sb 0.0000 0.0000 0.0000 1
Pb1 Pb 0.0000 0.5000 0.1812 1
W1 W 0.0000 0.0000 0.5000 1
```

Number 1: uncorrected energy -5.48 eV/atom, DOS(E_F) 0.574 states/eV/atom, raw formation energy 0.639 eV/atom. Number 2: uncorrected energy -5.13 eV/atom, DOS(E_F) 0.865 states/eV/atom, raw formation energy 0.991 eV/atom. Number 3: uncorrected energy -5.99 eV/atom, DOS(E_F) 1.074 states/eV/atom, raw formation energy 0.938 eV/atom. Number 4: uncorrected energy -4.84 eV/atom, DOS(E_F) 0.660 states/eV/atom, raw formation energy 1.285 eV/atom. Number 5: uncorrected energy -6.07 eV/atom, DOS(E_F) 0.835 states/eV/atom, raw formation energy 0.861 eV/atom. Number 6: uncorrected energy -5.13 eV/atom, DOS(E_F) 0.911 states/eV/atom, raw formation energy 0.995 eV/atom. Number 7: uncorrected energy -6.91 eV/atom, DOS(E_F) 1.070 states/eV/atom, raw formation energy 2.431 eV/atom. Number 8: uncorrected energy -5.52 eV/atom, DOS(E_F) 0.739 states/eV/atom, raw formation energy 0.600 eV/atom. Number 9: uncorrected energy -4.68 eV/atom, DOS(E_F) 0.603 states/eV/atom, raw formation energy 1.043 eV/atom. Number 10: uncorrected energy -5.38 eV/atom, DOS(E_F) 0.838 states/eV/atom, raw formation energy 0.745 eV/atom. Number 11: uncorrected energy -5.63 eV/atom, DOS(E_F) 0.519 states/eV/atom, raw formation energy 0.496 eV/atom. Number 12: uncorrected energy -5.53 eV/atom, DOS(E_F) 0.796 states/eV/atom, raw formation energy 0.597 eV/atom.